## K4Tm3TlO8 (GGA-PBE)

Data for crystalline K4Tm3TlO8 at its relaxed geometry.

Properties
Formation energy without anion corrections ... -2.361 eV/atom
DFT total energy ... -6.1007 eV/atom
Calculated volume ... 16.0 Å³ per atom

```
data_K4Tm3TlO8
_chemical_formula_sum 'K12 Tm9 Tl3 O24'
_symmetry_space_group_name_H-M 'R -3 m'
_symmetry_Int_Tables_number 166
_symmetry_space_group_name_Hall '-R 3 2"'
_cell_length_a 6.8667
_cell_length_b 6.8667
_cell_length_c 18.7729
_cell_angle_alpha 90.00
_cell_angle_beta 90.00
_cell_angle_gamma 120.00
loop_
_atom_site_label
_atom_site_type_symbol
_atom_site_fract_x
_atom_site_fract_y
_atom_site_fract_z
K1 K 0.0000 0.0000 0.0000
K2 K 0.0000 0.5000 0.0000
Tm1 Tm 0.0000 0.5000 0.5000
Tl1 Tl 0.0000 0.0000 0.5000
O1 O 0.0000 0.0000 0.2269
O2 O 0.0110 0.5055 0.7699
```